LiIn2Sb2: relaxed, PBE.

## Properties
M_tot, μB per formula unit: 0.0
Space group: P4/mbm, No. 127
Formation energy without anion corrections, meV per atom: -66

Lattice parameters (Å, degrees): 8.1900 8.1900 4.0805 90.00 90.00 90.00
Atoms (fractional coordinates):
Li (0.0000, 0.0000, 0.0000)
Li (0.5000, 0.5000, 0.0000)
In (0.1451, 0.3549, 0.5000)
In (0.3549, 0.8549, 0.5000)
In (0.6451, 0.1451, 0.5000)
In (0.8549, 0.6451, 0.5000)
Sb (0.1542, 0.6542, 0.0000)
Sb (0.3458, 0.1542, 0.0000)
Sb (0.6542, 0.8458, 0.0000)
Sb (0.8458, 0.3458, 0.0000)